Entry from OQMD: a geometry-optimized ZrTc structure (PBE-GGA).

Cell lengths 4.5898, 4.5898, 6.7645 Å; angles 90.00, 90.00, 90.00 degrees
Element x y z (fractional)
Zr 0.0000 0.0000 0.2220
Zr 0.0000 0.0000 0.7780
Zr 0.0000 0.5000 0.5000
Zr 0.5000 0.0000 0.5000
Tc 0.0000 0.5000 0.0000
Tc 0.5000 0.0000 0.0000
Tc 0.5000 0.5000 0.2401
Tc 0.5000 0.5000 0.7599

Properties
Formation energy = -0.1170 eV per atom